Entry from Alexandria: a relaxed MgTeO2 crystal (GGA-PBE).

Computed properties:
Size of the total moment, Bohr magnetons per cell: 0.0
ΔE_f (raw), kJ/mol of atoms: -156.1
Total DFT energy (no corrections), eV per cell: -21.122
Volume, Å³/atom: 13.580
Distance to the lowest polymorph of the same formula, meV/atom: 0
Symmetry: R-3m (166)

extended XYZ file:
```
4
Lattice="-2.4857 -5.9269 1.1046 0.2472 -6.5053 -0.3841 0.2325 -5.9194 2.7265" Properties=species:S:1:pos:R:3 pbc="T T T"
Te 0.0000 0.0000 0.0000
O -0.2197 -2.0101 0.3776
O -1.7862 -16.3415 3.0694
Mg -1.0030 -9.1758 1.7235
```

---

Entry from Alexandria: a relaxed CdW3 crystal (GGA-PBE).

Computed properties:
Size of the total moment, Bohr magnetons per cell: 0.0
Energy relative to the elements, meV/atom: 561.0
Total DFT energy (no corrections), eV per cell: -37.530
Volume, Å³/atom: 17.206
Distance to the lowest polymorph of the same formula, meV/atom: 246
Symmetry: R-3m (166)

extended XYZ file:
```
4
Lattice="-8.3251 5.5806 1.4919 -8.0450 4.5854 4.1143 -6.6369 6.8967 3.3260" Properties=species:S:1:pos:R:3 pbc="T T T"
Cd 0.0000 0.0000 0.0000
W -17.3107 12.8381 6.7207
W -5.6963 4.2245 2.2115
W -11.5035 8.5313 4.4661
```

---

Entry from Alexandria: a relaxed PbW crystal (GGA-PBE).

Computed properties:
Size of the total moment, Bohr magnetons per cell: 0.0
Energy relative to the elements, meV/atom: 1162.5
Total DFT energy (no corrections), eV per cell: -114.692
Volume, Å³/atom: 31.977
Distance to the lowest polymorph of the same formula, meV/atom: 668
Symmetry: I4/m (87)

extended XYZ file:
```
16
Lattice="-10.0028 7.0405 1.7967 -7.2070 -9.2241 -3.9784 -0.2505 -1.1550 3.1316" Properties=species:S:1:pos:R:3 pbc="T T T"
Pb -6.4414 0.7922 -0.2230
Pb -6.5427 -3.1809 -1.6964
Pb -10.6670 0.9972 -0.4853
Pb -10.7684 -2.9758 -1.9588
Pb -15.1715 -0.8771 0.2520
Pb -8.0659 4.3739 2.7569
Pb -2.2887 -2.4615 0.6979
Pb -9.3943 -7.7125 -1.8071
W -8.4565 2.6944 0.3174
W -4.1535 -0.3333 1.3337
W -10.2764 2.6768 1.9542
W -7.1838 -6.0154 -1.0043
W -4.5766 -1.3360 -0.8588
W -12.6332 -0.8476 -1.3230
W -13.3067 -3.0053 -0.3838
W -8.7533 -4.8780 -2.4992
```

---

Entry from Alexandria: a relaxed DyPuTlGa crystal (GGA-PBE).

Computed properties:
Size of the total moment, Bohr magnetons per cell: 6.0
Energy relative to the elements, meV/atom: -237.7
Total DFT energy (no corrections), eV per cell: -25.278
Volume, Å³/atom: 25.587
Symmetry: F-43m (216)

extended XYZ file:
```
4
Lattice="-0.3368 5.2385 -0.1091 -1.0854 2.6530 4.3990 3.7159 2.9178 2.2905" Properties=species:S:1:pos:R:3 pbc="T T T"
Pu 1.1468 5.4047 3.2902
Tl 1.7203 8.1070 4.9353
Ga 0.5734 2.7023 1.6451
Dy 0.0000 0.0000 0.0000
```

---

Question: total DFT energy (no corrections) of number 3 (PbW)?
Answer: -114.692 eV per cell

---

Question: Which value of size of the total moment does entry 2 give?
Answer: 0.0 Bohr magnetons per cell